Compound: PuSc2O
Source: Alexandria via LeMat-Bulk
Functional: PBE
Structure: relaxed

a = 2.899 Å, b = 2.899 Å, c = 8.163 Å
α = 90.00°, β = 90.00°, γ = 90.00°
Space group P4/mmm (No. 123)
Unique sites:
1 Pu 0.000 0.000 0.000 x1
2 Sc 0.500 0.500 0.324 x2
3 O 0.000 0.000 0.500 x1

Uncorrected formation energy   -0.889 eV/atom
Fermi-level density of states   6.54 states/eV/f.u.
E   -8.88 eV/atom

---

Compound: PuSc6O12
Source: Alexandria via LeMat-Bulk
Functional: PBE
Structure: relaxed

a = 9.4679 Å, b = 9.4679 Å, c = 8.8757 Å
α = 90.00°, β = 90.00°, γ = 120.00°
Space group R-3 (No. 148, hexagonal axes)
Unique sites:
1 Pu 0.0000 0.0000 0.0000 x3
2 Sc 0.0288 0.7832 0.6362 x18
3 O 0.0210 0.8258 0.8779 x18
4 O 0.0229 0.8089 0.3930 x18

Uncorrected formation energy   -3.317 eV/atom
Fermi-level density of states   7.90 states/eV/f.u.
E   -9.20 eV/atom

---

Compound: PuSc2O8
Source: Alexandria via LeMat-Bulk
Functional: PBE
Structure: relaxed

a = 9.275 Å, b = 6.501 Å, c = 5.331 Å
α = 90.00°, β = 109.92°, γ = 90.00°
Space group C2/m (No. 12)
Unique sites:
1 Pu 0.000 0.000 0.000 x2
2 Sc 0.215 0.500 0.424 x4
3 O 0.042 0.500 0.632 x4
4 O 0.135 0.000 0.801 x4
5 O 0.144 0.203 0.272 x8

Uncorrected formation energy   -2.432 eV/atom
E   -8.49 eV/atom

---

Compound: PuScSeO2
Source: Alexandria via LeMat-Bulk
Functional: PBE
Structure: relaxed

a = 6.550 Å, b = 3.964 Å, c = 7.497 Å
α = 90.00°, β = 111.93°, γ = 90.00°
Space group P2_1/m (No. 11)
Unique sites:
1 Pu 0.200 0.250 0.447 x2
2 Sc 0.152 0.250 0.933 x2
3 Se 0.473 0.750 0.747 x2
4 O 0.007 0.750 0.365 x2
5 O 0.034 0.750 0.899 x2

Uncorrected formation energy   -2.736 eV/atom
Fermi-level density of states   7.61 states/eV/f.u.
E   -9.55 eV/atom

---

Compound: Pu2ScSe2O2
Source: Alexandria via LeMat-Bulk
Functional: PBE
Structure: relaxed

a = 4.146 Å, b = 4.146 Å, c = 15.068 Å
α = 90.00°, β = 90.00°, γ = 90.00°
Space group I4/mmm (No. 139)
Unique sites:
1 Pu 0.000 0.000 0.118 x4
2 Sc 0.000 0.000 0.500 x2
3 Se 0.000 0.000 0.321 x4
4 O 0.000 0.500 0.000 x4

Uncorrected formation energy   -2.306 eV/atom
Fermi-level density of states   17.92 states/eV/f.u.
E   -9.72 eV/atom

---

Compound: SmPuSc2O8
Source: Alexandria via LeMat-Bulk
Functional: PBE
Structure: relaxed

a = 6.920 Å, b = 7.044 Å, c = 6.872 Å
α = 90.00°, β = 90.00°, γ = 90.00°
Space group Cmmm (No. 65)
Unique sites:
1 Sm 0.000 0.000 0.000 x2
2 Pu 0.000 0.000 0.500 x2
3 Sc 0.000 0.500 0.230 x4
4 O 0.000 0.280 0.500 x4
5 O 0.000 0.322 0.000 x4
6 O 0.198 0.000 0.279 x8

Uncorrected formation energy   -3.005 eV/atom
E   -8.95 eV/atom

---

Compound: SmPuScO6
Source: Alexandria via LeMat-Bulk
Functional: PBE
Structure: relaxed

a = 5.5387 Å, b = 5.5387 Å, c = 9.8393 Å
α = 90.00°, β = 90.00°, γ = 120.00°
Space group P-31c (No. 163)
Unique sites:
1 Sm 0.0000 0.0000 0.0000 x2
2 Pu 0.3333 0.6667 0.2500 x2
3 Sc 0.3333 0.6667 0.7500 x2
4 O 0.0075 0.3578 0.1386 x12

Uncorrected formation energy   -3.056 eV/atom
Fermi-level density of states   7.54 states/eV/f.u.
E   -9.18 eV/atom

---

Compound: PuScSnO6
Source: Alexandria via LeMat-Bulk
Functional: PBE
Structure: relaxed

a = 5.4444 Å, b = 5.4444 Å, c = 9.2410 Å
α = 90.00°, β = 90.00°, γ = 120.00°
Space group P-31c (No. 163)
Unique sites:
1 Pu 0.3333 0.6667 0.2500 x2
2 Sc 0.0000 0.0000 0.0000 x2
3 Sn 0.3333 0.6667 0.7500 x2
4 O 0.0064 0.3370 0.6290 x12

Uncorrected formation energy   -2.452 eV/atom
Fermi-level density of states   9.41 states/eV/f.u.
E   -8.50 eV/atom

---

Compound: SrPuSc2O8
Source: Alexandria via LeMat-Bulk
Functional: PBE
Structure: relaxed

a = 4.947 Å, b = 6.983 Å, c = 4.948 Å
α = 90.00°, β = 90.32°, γ = 90.00°
Space group P2/m (No. 10)
Unique sites:
1 Sr 0.000 0.000 0.000 x1
2 Pu 0.000 0.500 0.000 x1
3 Sc 0.500 0.262 0.500 x2
4 O 0.196 0.294 0.195 x4
5 O 0.298 0.500 0.701 x2
6 O 0.346 0.000 0.651 x2

Uncorrected formation energy   -2.724 eV/atom
E   -8.42 eV/atom

---

Compound: SrPuScO6
Source: Alexandria via LeMat-Bulk
Functional: PBE
Structure: relaxed

a = 5.5548 Å, b = 5.5548 Å, c = 10.5457 Å
α = 90.00°, β = 90.00°, γ = 120.00°
Space group P-31c (No. 163)
Unique sites:
1 Sr 0.0000 0.0000 0.0000 x2
2 Pu 0.3333 0.6667 0.2500 x2
3 Sc 0.3333 0.6667 0.7500 x2
4 O 0.0150 0.3771 0.1465 x12

Uncorrected formation energy   -2.871 eV/atom
E   -8.66 eV/atom

---

Compound: PuScTaO6
Source: Alexandria via LeMat-Bulk
Functional: PBE
Structure: relaxed

a = 5.3426 Å, b = 5.3426 Å, c = 9.5886 Å
α = 90.00°, β = 90.00°, γ = 120.00°
Space group P-31c (No. 163)
Unique sites:
1 Pu 0.0000 0.0000 0.0000 x2
2 Sc 0.3333 0.6667 0.2500 x2
3 Ta 0.3333 0.6667 0.7500 x2
4 O 0.0163 0.3548 0.6357 x12

Uncorrected formation energy   -3.072 eV/atom
Fermi-level density of states   3.74 states/eV/f.u.
E   -9.99 eV/atom

---

Compound: TbPuScO6
Source: Alexandria via LeMat-Bulk
Functional: PBE
Structure: relaxed

a = 5.5167 Å, b = 5.5167 Å, c = 9.6406 Å
α = 90.00°, β = 90.00°, γ = 120.00°
Space group P-31c (No. 163)
Unique sites:
1 Tb 0.0000 0.0000 0.0000 x2
2 Pu 0.3333 0.6667 0.2500 x2
3 Sc 0.3333 0.6667 0.7500 x2
4 O 0.0074 0.3537 0.1368 x12

Uncorrected formation energy   -3.070 eV/atom
Fermi-level density of states   7.49 states/eV/f.u.
E   -9.19 eV/atom